{
  "formula": "LaEuHo2",
  "functional": "PBE",
  "state": "relaxed",
  "lattice_angstrom": [[5.1419, 0.0000, 0.0000], [0.0000, 5.1753, 0.0000], [0.0000, 0.0000, 5.1753]],
  "species": ["Ho", "Ho", "Eu", "La"],
  "fractional_positions": [[0.0000, 0.5000, 0.0000], [0.0000, 0.0000, 0.5000], [0.5000, 0.0000, 0.0000], [0.5000, 0.5000, 0.5000]],
  "formation_enthalpy_0k_ev_per_atom": 0.095,
  "final_energy_ev_per_atom": -5.994,
  "space_group": "No. 123",
  "dos_ef_per_ev_fu": 6.7,
  "de_polymorph_mev_per_atom": 39
}

{
  "formula": "LaEu2Ho",
  "functional": "PBE",
  "state": "relaxed",
  "lattice_angstrom": [[-1.7149, -3.1672, -0.9050], [1.9663, -0.1657, -3.1460], [7.6134, -5.5657, 5.0517]],
  "species": ["La", "Eu", "Eu", "Ho"],
  "fractional_positions": [[0.5000, 0.5000, 0.5000], [0.0000, 0.0000, 0.2416], [0.0000, 0.0000, 0.7584], [0.5000, 0.5000, 0.0000]],
  "formation_enthalpy_0k_ev_per_atom": 0.107,
  "final_energy_ev_per_atom": -7.406,
  "space_group": "No. 123",
  "dos_ef_per_ev_fu": 4.5,
  "de_polymorph_mev_per_atom": 0
}

{
  "formula": "LaEuHo2",
  "functional": "PBE",
  "state": "relaxed",
  "lattice_angstrom": [[3.6936, 0.0000, 0.0000], [0.0000, 3.6936, 0.0000], [0.0000, 0.0000, 10.1714]],
  "species": ["Eu", "Ho", "Ho", "La"],
  "fractional_positions": [[0.5000, 0.5000, 0.5000], [0.0000, 0.0000, 0.2409], [0.0000, 0.0000, 0.7591], [0.5000, 0.5000, 0.0000]],
  "formation_enthalpy_0k_ev_per_atom": 0.073,
  "final_energy_ev_per_atom": -6.016,
  "space_group": "No. 123",
  "dos_ef_per_ev_fu": 6.4,
  "de_polymorph_mev_per_atom": 16
}

{
  "formula": "LaEu2Ho",
  "functional": "PBE",
  "state": "relaxed",
  "lattice_angstrom": [[-3.9620, -2.0558, -2.9913], [-0.9874, -3.5414, 3.7417], [-3.4031, 3.3086, 2.2336]],
  "species": ["La", "Eu", "Eu", "Ho"],
  "fractional_positions": [[0.5000, 0.0000, 0.0000], [0.0000, 0.5000, 0.0000], [0.0000, 0.0000, 0.5000], [0.5000, 0.5000, 0.5000]],
  "formation_enthalpy_0k_ev_per_atom": 0.115,
  "final_energy_ev_per_atom": -7.398,
  "space_group": "No. 123",
  "dos_ef_per_ev_fu": 5.9,
  "de_polymorph_mev_per_atom": 8
}

{
  "formula": "LaEu2Ho",
  "functional": "PBE",
  "state": "relaxed",
  "lattice_angstrom": [[-3.9200, -2.1925, 3.8864], [-5.3149, -1.8715, -1.8780], [-1.2701, -5.8021, -0.0158]],
  "species": ["Ho", "La", "Eu", "Eu"],
  "fractional_positions": [[0.5000, 0.5000, 0.5000], [0.0000, 0.0000, 0.0000], [0.2500, 0.2500, 0.2500], [0.7500, 0.7500, 0.7500]],
  "formation_enthalpy_0k_ev_per_atom": 0.146,
  "final_energy_ev_per_atom": -7.367,
  "space_group": "No. 225",
  "dos_ef_per_ev_fu": 5.2,
  "de_polymorph_mev_per_atom": 39
}

{
  "formula": "LaEuHo2",
  "functional": "PBE",
  "state": "relaxed",
  "lattice_angstrom": [[-1.9728, -2.8100, 1.2485], [1.5719, -2.5483, 2.0933], [-2.9078, 4.4722, 10.8159]],
  "species": ["Ho", "Ho", "La", "Eu"],
  "fractional_positions": [[0.7481, 0.7481, 0.7557], [0.2519, 0.2519, 0.2443], [0.0000, 0.0000, 0.0000], [0.5000, 0.5000, 0.5000]],
  "formation_enthalpy_0k_ev_per_atom": 0.057,
  "final_energy_ev_per_atom": -6.032,
  "space_group": "No. 166",
  "dos_ef_per_ev_fu": 5.0,
  "de_polymorph_mev_per_atom": 0
}

{
  "formula": "LaEuHo2",
  "functional": "PBE",
  "state": "relaxed",
  "lattice_angstrom": [[-1.3619, -2.1116, -5.2470], [1.0635, -5.5801, -1.2555], [-4.4148, -3.7453, -0.5720]],
  "species": ["Ho", "Ho", "La", "Eu"],
  "fractional_positions": [[0.7500, 0.7500, 0.7500], [0.2500, 0.2500, 0.2500], [0.5000, 0.5000, 0.5000], [0.0000, 0.0000, 0.0000]],
  "formation_enthalpy_0k_ev_per_atom": 0.147,
  "final_energy_ev_per_atom": -5.943,
  "space_group": "No. 225",
  "dos_ef_per_ev_fu": 6.6,
  "de_polymorph_mev_per_atom": 90
}

{
  "formula": "LiLaEuHo",
  "functional": "PBE",
  "state": "relaxed",
  "lattice_angstrom": [[-3.6438, 4.1349, 1.5310], [-4.3798, 1.3623, -3.4177], [-5.3476, -1.3255, 1.5379]],
  "species": ["Ho", "La", "Eu", "Li"],
  "fractional_positions": [[0.7500, 0.7500, 0.7500], [0.0000, 0.0000, 0.0000], [0.5000, 0.5000, 0.5000], [0.2500, 0.2500, 0.2500]],
  "formation_enthalpy_0k_ev_per_atom": 0.193,
  "final_energy_ev_per_atom": -5.230,
  "space_group": "No. 216",
  "dos_ef_per_ev_fu": 5.7
}